1.
{"formula": "TbZr6P9O36", "functional": "PBEsol", "state": "optimized geometry", "mass_density_g_cm3": 3.367, "space_group": "P-3c1 (165)", "final_energy_ev_per_cell": -892.88, "cell": [[-4.528, 3.264, -6.914], [-2.372, -7.772, 3.595], [-13.832, 10.763, 14.141]], "species": ["Tb", "Tb", "Zr", "Zr", "Zr", "Zr", "Zr", "Zr", "Zr", "Zr", "Zr", "Zr", "Zr", "Zr", "P", "P", "P", "P", "P", "P", "P", "P", "P", "P", "P", "P", "P", "P", "P", "P", "P", "P", "O", "O", "O", "O", "O", "O", "O", "O", "O", "O", "O", "O", "O", "O", "O", "O", "O", "O", "O", "O", "O", "O", "O", "O", "O", "O", "O", "O", "O", "O", "O", "O", "O", "O", "O", "O", "O", "O", "O", "O", "O", "O", "O", "O", "O", "O", "O", "O", "O", "O", "O", "O", "O", "O", "O", "O", "O", "O", "O", "O", "O", "O", "O", "O", "O", "O", "O", "O", "O", "O", "O", "O"], "fractional_positions": [[0.000, 0.000, 0.500], [0.000, 0.000, 0.000], [0.667, 0.333, 0.468], [0.333, 0.667, 0.532], [0.333, 0.667, 0.032], [0.667, 0.333, 0.968], [0.000, 0.000, 0.352], [0.000, 0.000, 0.648], [0.000, 0.000, 0.148], [0.000, 0.000, 0.852], [0.667, 0.333, 0.188], [0.333, 0.667, 0.812], [0.333, 0.667, 0.312], [0.667, 0.333, 0.688], [0.625, 0.945, 0.422], [0.375, 0.055, 0.578], [0.320, 0.375, 0.422], [0.680, 0.055, 0.078], [0.680, 0.625, 0.578], [0.320, 0.945, 0.922], [0.055, 0.680, 0.422], [0.945, 0.625, 0.078], [0.945, 0.320, 0.578], [0.055, 0.375, 0.922], [0.375, 0.320, 0.078], [0.625, 0.680, 0.922], [0.709, 0.709, 0.250], [0.291, 0.291, 0.750], [0.000, 0.291, 0.250], [0.000, 0.709, 0.750], [0.291, 0.000, 0.250], [0.709, 0.000, 0.750], [0.537, 0.842, 0.478], [0.463, 0.158, 0.522], [0.305, 0.463, 0.478], [0.695, 0.158, 0.022], [0.695, 0.537, 0.522], [0.305, 0.842, 0.978], [0.158, 0.695, 0.478], [0.842, 0.537, 0.022], [0.842, 0.305, 0.522], [0.158, 0.463, 0.978], [0.463, 0.305, 0.022], [0.537, 0.695, 0.978], [0.639, 0.124, 0.421], [0.361, 0.876, 0.579], [0.485, 0.361, 0.421], [0.515, 0.876, 0.079], [0.515, 0.639, 0.579], [0.485, 0.124, 0.921], [0.876, 0.515, 0.421], [0.124, 0.639, 0.079], [0.124, 0.485, 0.579], [0.876, 0.361, 0.921], [0.361, 0.485, 0.079], [0.639, 0.515, 0.921], [0.816, 0.974, 0.423], [0.184, 0.026, 0.577], [0.158, 0.184, 0.423], [0.842, 0.026, 0.077], [0.842, 0.816, 0.577], [0.158, 0.974, 0.923], [0.026, 0.842, 0.423], [0.974, 0.816, 0.077], [0.974, 0.158, 0.577], [0.026, 0.184, 0.923], [0.184, 0.158, 0.077], [0.816, 0.842, 0.923], [0.971, 0.173, 0.305], [0.029, 0.827, 0.695], [0.202, 0.029, 0.305], [0.798, 0.827, 0.195], [0.798, 0.971, 0.695], [0.202, 0.173, 0.805], [0.827, 0.798, 0.305], [0.173, 0.971, 0.195], [0.173, 0.202, 0.695], [0.827, 0.029, 0.805], [0.029, 0.202, 0.195], [0.971, 0.798, 0.805], [0.533, 0.845, 0.366], [0.467, 0.155, 0.634], [0.311, 0.467, 0.366], [0.689, 0.155, 0.134], [0.689, 0.533, 0.634], [0.311, 0.845, 0.866], [0.155, 0.689, 0.366], [0.845, 0.533, 0.134], [0.845, 0.311, 0.634], [0.155, 0.467, 0.866], [0.467, 0.311, 0.134], [0.533, 0.689, 0.866], [0.532, 0.692, 0.259], [0.468, 0.308, 0.741], [0.160, 0.468, 0.259], [0.840, 0.308, 0.241], [0.840, 0.532, 0.741], [0.160, 0.692, 0.759], [0.308, 0.840, 0.259], [0.692, 0.532, 0.241], [0.692, 0.160, 0.741], [0.308, 0.468, 0.759], [0.468, 0.160, 0.241], [0.532, 0.840, 0.759]]}



2.
{"formula": "SnSbW2C", "functional": "PBEsol", "state": "optimized geometry", "mass_density_g_cm3": 7.783, "space_group": "P4/mmm (123)", "final_energy_ev_per_cell": -27.73, "cell": [[-1.557, -3.265, 3.323], [1.705, -3.660, -2.797], [4.840, 0.298, 2.561]], "species": ["Sb", "C", "Sn", "W", "W"], "fractional_positions": [[0.000, 0.000, 0.000], [0.500, 0.500, 0.500], [0.000, 0.000, 0.500], [0.000, 0.500, 0.000], [0.500, 0.000, 0.000]]}



3.
{"formula": "YMg4Zr", "functional": "PBEsol", "state": "optimized geometry", "mass_density_g_cm3": 3.278, "ef_ev_per_atom": 0.0682, "space_group": "F-43m (216)", "final_energy_ev_per_cell": -22.37, "cell": [[-5.006, 0.725, -2.909], [-1.027, -3.075, -4.852], [-4.024, -4.225, 0.020]], "species": ["Mg", "Mg", "Mg", "Mg", "Y", "Zr"], "fractional_positions": [[0.374, 0.374, 0.374], [0.374, 0.374, 0.877], [0.877, 0.374, 0.374], [0.374, 0.877, 0.374], [0.750, 0.750, 0.750], [0.000, 0.000, 0.000]]}



4.
{"formula": "Sr3NF", "functional": "PBEsol", "state": "optimized geometry", "mass_density_g_cm3": 3.570, "space_group": "Pm-3m (221)", "final_energy_ev_per_cell": -20.55, "cell": [[-4.953, 1.383, -0.461], [-0.512, -0.124, 5.136], [1.365, 4.973, 0.257]], "species": ["Sr", "Sr", "Sr", "N", "F"], "fractional_positions": [[0.000, 0.500, 0.000], [0.000, 0.000, 0.500], [0.500, 0.000, 0.000], [0.000, 0.000, 0.000], [0.500, 0.500, 0.500]]}



5.
{"formula": "Te2Mo3Se2S2", "functional": "PBEsol", "state": "optimized geometry", "mass_density_g_cm3": 6.555, "space_group": "P3m1 (156)", "final_energy_ev_per_cell": -64.21, "cell": [[-2.287, 2.358, -0.207], [0.544, -1.518, 2.869], [14.207, 14.205, 4.822]], "species": ["Mo", "Mo", "Mo", "Te", "Te", "S", "S", "Se", "Se"], "fractional_positions": [[0.000, 0.000, 0.963], [0.000, 0.000, 0.338], [0.667, 0.333, 0.658], [0.667, 0.333, 0.430], [0.667, 0.333, 0.247], [0.000, 0.000, 0.585], [0.000, 0.000, 0.731], [0.667, 0.333, 0.043], [0.667, 0.333, 0.882]]}



6.
{"formula": "ZrGeF2", "functional": "PBEsol", "state": "optimized geometry", "mass_density_g_cm3": 4.717, "space_group": "R-3m (166)", "final_energy_ev_per_cell": -24.02, "cell": [[-0.490, 2.566, 1.672], [-2.053, 2.114, -0.968], [-7.008, -2.440, 4.569]], "species": ["Ge", "Zr", "F", "F"], "fractional_positions": [[0.500, 0.500, 0.500], [0.000, 0.000, 0.000], [0.923, 0.923, 0.232], [0.077, 0.077, 0.768]]}



7.
{"formula": "KY", "functional": "PBEsol", "state": "optimized geometry", "mass_density_g_cm3": 2.484, "ef_ev_per_atom": 0.5153, "space_group": "Cm (8)", "final_energy_ev_per_cell": -20.77, "cell": [[-1.518, -3.166, 0.661], [7.282, -0.435, 4.984], [-5.759, 3.821, 5.070]], "species": ["K", "K", "K", "Y", "Y", "Y"], "fractional_positions": [[0.000, 0.000, 0.981], [0.322, 0.643, 0.673], [0.390, 0.781, 0.288], [0.659, 0.319, 0.328], [0.095, 0.190, 0.614], [0.700, 0.400, 0.950]]}



8.
{"formula": "CaBPd2W", "functional": "PBEsol", "state": "optimized geometry", "mass_density_g_cm3": 7.285, "ef_ev_per_atom": 2.7968, "space_group": "P4/mmm (123)", "final_energy_ev_per_cell": -20.89, "cell": [[-2.802, -3.233, 1.434], [-1.039, -0.996, -4.276], [3.754, -3.316, -0.140]], "species": ["Ca", "B", "Pd", "Pd", "W"], "fractional_positions": [[0.000, 0.000, 0.000], [0.500, 0.500, 0.500], [0.000, 0.500, 0.000], [0.500, 0.000, 0.000], [0.000, 0.000, 0.500]]}



9.
{"formula": "YTl2Se", "functional": "PBEsol", "state": "optimized geometry", "mass_density_g_cm3": 9.582, "space_group": "Immm (71)", "final_energy_ev_per_cell": -18.45, "e_above_lowest_polymorph_ev_per_atom": 0.000, "cell": [[-1.224, -0.743, -3.888], [1.527, -3.945, 0.273], [-5.187, 0.529, 3.740]], "species": ["Se", "Tl", "Tl", "Y"], "fractional_positions": [[0.000, 0.500, 0.000], [0.745, 0.745, 0.490], [0.255, 0.255, 0.510], [0.500, 0.000, 0.000]]}



10.
{"formula": "MoW2Br", "functional": "PBEsol", "state": "optimized geometry", "mass_density_g_cm3": 14.007, "space_group": "C2/m (12)", "final_energy_ev_per_cell": -37.33, "e_above_lowest_polymorph_ev_per_atom": 0.270, "cell": [[-0.934, 2.069, -1.793], [3.167, -2.119, -3.074], [-4.436, -2.769, 0.939]], "species": ["Mo", "Br", "W", "W"], "fractional_positions": [[0.500, 0.000, 0.000], [0.000, 0.500, 0.000], [0.500, 0.500, 0.500], [0.000, 0.000, 0.500]]}



11.
{"formula": "HfZr2ReAg", "functional": "PBEsol", "state": "optimized geometry", "mass_density_g_cm3": 9.142, "ef_ev_per_atom": 1.5166, "space_group": "P4/mmm (123)", "final_energy_ev_per_cell": -37.74, "cell": [[4.650, 0.000, 0.000], [0.000, 5.059, 0.000], [0.000, 0.000, 5.059]], "species": ["Re", "Hf", "Zr", "Zr", "Ag"], "fractional_positions": [[0.500, 0.000, 0.000], [0.000, 0.000, 0.000], [0.000, 0.000, 0.500], [0.000, 0.500, 0.000], [0.500, 0.500, 0.500]]}



12.
{"formula": "LaYSc2", "functional": "PBEsol", "state": "optimized geometry", "mass_density_g_cm3": 4.800, "ef_ev_per_atom": 0.0587, "space_group": "Cm (8)", "final_energy_ev_per_cell": -25.14, "e_above_lowest_polymorph_ev_per_atom": 0.013, "cell": [[3.419, 0.000, 0.000], [0.000, 5.779, -0.010], [-1.710, -1.058, 5.564]], "species": ["Y", "Sc", "Sc", "La"], "fractional_positions": [[0.503, 0.504, 0.006], [0.996, 0.998, 0.992], [0.255, 0.753, 0.510], [0.746, 0.245, 0.491]]}



13.
{"formula": "K3Sr", "functional": "PBEsol", "state": "optimized geometry", "mass_density_g_cm3": 1.321, "ef_ev_per_atom": 0.0937, "space_group": "C2/m (12)", "final_energy_ev_per_cell": -4.87, "e_above_lowest_polymorph_ev_per_atom": 0.034, "cell": [[-3.151, -3.017, 0.143], [6.742, -3.834, 1.053], [-1.430, 1.854, 7.587]], "species": ["Sr", "K", "K", "K"], "fractional_positions": [[0.000, 0.000, 0.000], [0.500, 0.000, 0.500], [0.250, 0.501, 0.755], [0.750, 0.499, 0.245]]}



14.
{"formula": "KAl2Pt", "functional": "PBEsol", "state": "optimized geometry", "mass_density_g_cm3": 4.684, "ef_ev_per_atom": -0.4662, "space_group": "Cm (8)", "final_energy_ev_per_cell": -18.14, "cell": [[-3.329, 2.444, 1.367], [2.291, -2.349, 2.856], [3.457, 5.564, -1.529]], "species": ["K", "Al", "Al", "Pt"], "fractional_positions": [[0.496, 0.992, 0.487], [0.018, 0.037, 0.055], [0.314, 0.628, 0.943], [0.672, 0.343, 0.015]]}



15.
{"formula": "KTl2SiP", "functional": "PBEsol", "state": "optimized geometry", "mass_density_g_cm3": 5.275, "space_group": "P4/mmm (123)", "final_energy_ev_per_cell": -14.41, "cell": [[5.156, 0.000, 0.000], [0.000, 5.156, 0.000], [0.000, 0.000, 6.002]], "species": ["P", "Tl", "Tl", "Si", "K"], "fractional_positions": [[0.500, 0.500, 0.500], [0.000, 0.500, 0.000], [0.500, 0.000, 0.000], [0.000, 0.000, 0.000], [0.000, 0.000, 0.500]]}



16.
{"formula": "TaCuRe3", "functional": "PBEsol", "state": "optimized geometry", "mass_density_g_cm3": 12.974, "ef_ev_per_atom": 2.7073, "space_group": "Pm-3m (221)", "final_energy_ev_per_cell": -43.34, "cell": [[4.684, 0.000, 0.000], [0.000, 4.684, 0.000], [0.000, 0.000, 4.684]], "species": ["Re", "Re", "Re", "Cu", "Ta"], "fractional_positions": [[0.000, 0.500, 0.000], [0.000, 0.000, 0.500], [0.500, 0.000, 0.000], [0.500, 0.500, 0.500], [0.000, 0.000, 0.000]]}



17.
{"formula": "ZnPbN2", "functional": "PBEsol", "state": "optimized geometry", "mass_density_g_cm3": 8.849, "space_group": "R-3m (166)", "final_energy_ev_per_cell": -18.59, "e_above_lowest_polymorph_ev_per_atom": 0.422, "cell": [[3.227, 0.000, 0.000], [1.614, 2.795, 0.000], [1.614, 0.932, 6.254]], "species": ["Pb", "Zn", "N", "N"], "fractional_positions": [[0.000, 0.000, 0.000], [0.500, 0.500, 0.500], [0.884, 0.884, 0.349], [0.116, 0.116, 0.651]]}



18.
{"formula": "Ti8Bi9", "functional": "PBEsol", "state": "optimized geometry", "mass_density_g_cm3": 9.933, "ef_ev_per_atom": -0.2429, "space_group": "P4/nmm (129)", "final_energy_ev_per_cell": -218.55, "cell": [[7.342, 0.000, 0.000], [0.000, 10.153, 0.000], [0.000, 0.000, 10.153]], "species": ["Ti", "Ti", "Ti", "Ti", "Ti", "Ti", "Ti", "Ti", "Ti", "Ti", "Ti", "Ti", "Ti", "Ti", "Ti", "Ti", "Bi", "Bi", "Bi", "Bi", "Bi", "Bi", "Bi", "Bi", "Bi", "Bi", "Bi", "Bi", "Bi", "Bi", "Bi", "Bi", "Bi", "Bi"], "fractional_positions": [[0.423, 0.500, 0.000], [0.852, 0.858, 0.000], [0.080, 0.000, 0.500], [0.148, 0.000, 0.142], [0.148, 0.000, 0.858], [0.148, 0.642, 0.500], [0.920, 0.500, 0.000], [0.852, 0.142, 0.000], [0.148, 0.358, 0.500], [0.000, 0.250, 0.750], [0.852, 0.500, 0.358], [0.577, 0.000, 0.500], [0.000, 0.750, 0.250], [0.852, 0.500, 0.642], [0.000, 0.750, 0.750], [0.000, 0.250, 0.250], [0.652, 0.665, 0.165], [0.194, 0.500, 0.237], [0.500, 0.000, 0.000], [0.348, 0.165, 0.665], [0.806, 0.237, 0.500], [0.652, 0.665, 0.835], [0.806, 0.000, 0.263], [0.194, 0.737, 0.000], [0.194, 0.500, 0.763], [0.194, 0.263, 0.000], [0.652, 0.335, 0.835], [0.806, 0.763, 0.500], [0.500, 0.500, 0.500], [0.806, 0.000, 0.737], [0.348, 0.165, 0.335], [0.348, 0.835, 0.335], [0.652, 0.335, 0.165], [0.348, 0.835, 0.665]]}



19.
{"formula": "Cd2AgAu", "functional": "PBEsol", "state": "optimized geometry", "mass_density_g_cm3": 12.173, "ef_ev_per_atom": -0.1427, "space_group": "I4/mmm (139)", "final_energy_ev_per_cell": -10.20, "e_above_lowest_polymorph_ev_per_atom": 0.000, "cell": [[4.384, 0.000, 0.000], [-2.192, 4.352, -0.024], [0.000, -2.187, 3.799]], "species": ["Au", "Ag", "Cd", "Cd"], "fractional_positions": [[0.000, 0.000, 0.000], [0.500, 0.000, 0.500], [0.750, 0.500, 0.250], [0.250, 0.500, 0.750]]}



20.
{"formula": "CdHg2Au", "functional": "PBEsol", "state": "optimized geometry", "mass_density_g_cm3": 14.598, "ef_ev_per_atom": 0.0168, "space_group": "Cmmm (65)", "final_energy_ev_per_cell": -6.19, "cell": [[-1.219, 1.690, 3.635], [2.903, -2.536, 2.153], [2.617, 3.478, -0.740]], "species": ["Au", "Hg", "Hg", "Cd"], "fractional_positions": [[0.500, 0.000, 0.000], [0.000, 0.500, 0.000], [0.000, 0.000, 0.500], [0.500, 0.500, 0.500]]}